Record 1
Density functional theory data (PBE) for Nd8Sm2In after structural relaxation.

a = 9.5935 Å, b = 9.5935 Å, c = 8.1433 Å
α = 104.91°, β = 104.91°, γ = 30.74°
With the nearest neighbours (Å) after each atom.
Positions (direct):
Nd 0.0439 0.0439 0.2287  9 Nd 3.56-3.70, 2 In 3.60, 1 Sm 3.62
Nd 0.1361 0.1361 0.6776  7 Nd 3.57-3.69, 2 In 3.60, 3 Sm 3.64-3.66
Nd 0.3220 0.3220 0.5916  1 In 3.57, 8 Nd 3.57-3.72, 3 Sm 3.63-3.68
Nd 0.4104 0.4104 0.0584  1 In 3.54, 8 Nd 3.56-3.72, 3 Sm 3.61-3.66
Nd 0.5896 0.5896 0.9416  1 In 3.54, 8 Nd 3.56-3.72, 3 Sm 3.61-3.66
Nd 0.6780 0.6780 0.4084  1 In 3.57, 8 Nd 3.57-3.72, 3 Sm 3.63-3.68
Nd 0.8639 0.8639 0.3224  7 Nd 3.57-3.69, 2 In 3.60, 3 Sm 3.64-3.66
Nd 0.9561 0.9561 0.7713  9 Nd 3.56-3.70, 2 In 3.60, 1 Sm 3.62
Sm 0.2242 0.2242 0.1339  10 Nd 3.61-3.68, 2 Sm 3.64
Sm 0.7758 0.7758 0.8661  10 Nd 3.61-3.68, 2 Sm 3.64
In 0.5000 0.5000 0.5000  12 Nd 3.54-3.60

Values from the calculation:
density	7.06	g/cm3
symmetry	No. 12
DFT total energy	-51.1	eV for the cell shown
Fermi-level density of states	14.40	states/eV/f.u.
formation energy	-0.067	eV per atom

***

Record 2
Density functional theory data (PBE) for Na4Tm3GeSe8 after structural relaxation.

a = 8.4193 Å, b = 8.4193 Å, c = 8.4193 Å
α = 57.73°, β = 57.73°, γ = 57.73°
With the nearest neighbours (Å) after each atom.
Positions (direct):
Na 0.0000 0.0000 0.0000  6 Se 3.10
Na 0.0000 0.5000 0.5000  6 Se 3.02-3.03
Na 0.5000 0.0000 0.5000  6 Se 3.02-3.03
Na 0.5000 0.5000 0.0000  6 Se 3.02-3.03
Tm 0.0000 0.0000 0.5000  6 Se 2.84
Tm 0.0000 0.5000 0.0000  6 Se 2.84
Tm 0.5000 0.0000 0.0000  6 Se 2.84
Ge 0.5000 0.5000 0.5000  6 Se 2.76
Se 0.2428 0.2428 0.2428  3 Tm 2.84, 3 Na 3.02
Se 0.2492 0.7361 0.7361  1 Ge 2.76, 2 Tm 2.84, 2 Na 3.03
Se 0.2639 0.2639 0.7508  1 Ge 2.76, 2 Tm 2.84, 2 Na 3.03
Se 0.2639 0.7508 0.2639  1 Ge 2.76, 2 Tm 2.84, 2 Na 3.03
Se 0.7361 0.2492 0.7361  1 Ge 2.76, 2 Tm 2.84, 2 Na 3.03
Se 0.7361 0.7361 0.2492  1 Ge 2.76, 2 Tm 2.84, 2 Na 3.03
Se 0.7508 0.2639 0.2639  1 Ge 2.76, 2 Tm 2.84, 2 Na 3.03
Se 0.7572 0.7572 0.7572  3 Tm 2.84, 3 Na 3.02

Values from the calculation:
E_form (uncorrected)	-134.58	kJ/mol of atoms
density	5.41	g/cm3
symmetry	No. 166
DFT total energy	-73.5	eV for the cell shown
Fermi-level density of states	1.51	states/eV/f.u.

***

Q: Number 1 is which compound?
A: Nd8Sm2In